Material: Tl2NiPb
Method: DFT, PBE-GGA
State: relaxed

Cell lengths 7.454, 7.454, 7.454 Å; angles 154.72, 144.85, 43.79 degrees
Atoms (fractional coordinates):
Ni: 0.493 0.493 0.000
Pb: 0.326 0.826 0.500
Tl: 0.003 0.003 0.000
Tl: 0.678 0.178 0.500

Properties
The formation energy is 4.21 kcal/mol of atoms. Its total DFT energy (no corrections) is -13.5 eV/cell. The magnetic moment is 0.00 μB/f.u. Its symmetry is Imm2.